Compound: TaZn3Sb
Source: Alexandria via LeMat-Bulk
Functional: PBE
Structure: relaxed

The structure belongs to space group Pm-3m (No. 221); the cell edges are 5.0152, 5.0152 and 5.0152 Å and the angles 90.00°, 90.00° and 90.00°. The inequivalent atoms are Ta at (0.0000, 0.0000, 0.0000), Zn at (0.0000, 0.0000, 0.5000) and Sb at (0.5000, 0.5000, 0.5000).

The calculation puts the volume at 126.1 Å³ per cell. The formation energy (no corrections) is 1.020 eV per atom. The calculation puts the final energy at -2.94 eV per atom. Its magnetic moment is 0.000 Bohr magnetons per cell.